The following is a PBE+U calculation of a geometry-optimized Sr2YAlCr2O7 structure, from Alexandria via LeMat-Bulk.

## Properties
VASP energy	-7.490	eV/atom

Unit cell a=22.6468 b=5.7562 c=5.5805 alpha=90.00 beta=90.00 gamma=90.00
Space group Ima2 (No. 46)
Symmetry-distinct sites (fractional):
Sr1 0.1566 0.0251 0.0000 x8
Y1 0.0000 0.0000 0.9986 x4
Al1 0.2500 0.5750 0.9822 x4
Cr1 0.0770 0.5018 0.0076 x8
O1 0.0640 0.2118 0.2192 x8
O2 0.0706 0.7049 0.3050 x8
O3 0.1818 0.0623 0.5345 x8
O4 0.2500 0.6673 0.6704 x4